Record 1
First-principles (PBE) data for crystalline CsTbO2 at its relaxed geometry, as listed in Alexandria via LeMat-Bulk.

a b c (Å): 3.5712 3.5712 20.8699
angles (deg): 90.00 90.00 120.00
Space group R3m (No. 160, hexagonal axes)
Inequivalent atoms, fractional coordinates:
1 Cs 0.0000 0.0000 0.0000 [3 per cell]
2 Tb 0.0000 0.0000 0.1697 [3 per cell]
3 O 0.0000 0.0000 0.5596 [3 per cell]
4 O 0.0000 0.0000 0.7831 [3 per cell]

E_tot = -25.76 eV/f.u.

Record 2
First-principles (PBE) data for crystalline CsTb2O3 at its relaxed geometry, as listed in Alexandria via LeMat-Bulk.

a b c (Å): 6.1350 6.1350 3.1923
angles (deg): 90.00 90.00 120.00
Space group P6/mmm (No. 191)
Inequivalent atoms, fractional coordinates:
1 Cs 0.0000 0.0000 0.0000 [1 per cell]
2 Tb 0.3333 0.6667 0.5000 [2 per cell]
3 O 0.0000 0.5000 0.0000 [3 per cell]

E_tot = -40.77 eV/f.u.